No. 1
# YGa2Au2 (SCAN, PBEsol geometry)
# **Total moment**: 0.00 μB per formula unit
# **Calculated formation energy**: -3.97 eV/f.u.
# **Uncorrected energy**: -40.56 eV/atom
data_YGa2Au2
_chemical_formula_sum 'Y2 Ga4 Au4'
_space_group_name_H-M_alt 'I 4/m m m'
_space_group_IT_number 139
_space_group_name_Hall '-I 4 2'
_cell_length_a 3.968
_cell_length_b 3.968
_cell_length_c 12.219
_cell_angle_alpha 90.00
_cell_angle_beta 90.00
_cell_angle_gamma 90.00
loop_
_atom_site_label
_atom_site_type_symbol
_atom_site_fract_x
_atom_site_fract_y
_atom_site_fract_z
Y1 Y 0.000 0.000 0.000
Ga1 Ga 0.000 0.500 0.250
Au1 Au 0.000 0.000 0.390

No. 2
# Y2Ga2Au (SCAN, PBEsol geometry)
# **Total moment**: 0.00 μB per formula unit
# **Calculated formation energy**: -4.46 eV/f.u.
# **Uncorrected energy**: -32.40 eV/atom
data_Y2Ga2Au
_chemical_formula_sum 'Y4 Ga4 Au2'
_space_group_name_H-M_alt 'P 4/m b m'
_space_group_IT_number 127
_space_group_name_Hall '-P 4 2ab'
_cell_length_a 6.840
_cell_length_b 6.840
_cell_length_c 4.420
_cell_angle_alpha 90.00
_cell_angle_beta 90.00
_cell_angle_gamma 90.00
loop_
_atom_site_label
_atom_site_type_symbol
_atom_site_fract_x
_atom_site_fract_y
_atom_site_fract_z
Y1 Y 0.172 0.328 0.000
Ga1 Ga 0.132 0.632 0.500
Au1 Au 0.000 0.000 0.500

No. 3
# Zn2GaAu2 (SCAN, PBEsol geometry)
# **Total moment**: 0.00 μB per formula unit
# **Calculated formation energy**: -0.85 eV/f.u.
# **Uncorrected energy**: -36.51 eV/atom
data_Zn2GaAu2
_chemical_formula_sum 'Zn4 Ga2 Au4'
_space_group_name_H-M_alt 'P 4/m b m'
_space_group_IT_number 127
_space_group_name_Hall '-P 4 2ab'
_cell_length_a 7.614
_cell_length_b 7.614
_cell_length_c 2.857
_cell_angle_alpha 90.00
_cell_angle_beta 90.00
_cell_angle_gamma 90.00
loop_
_atom_site_label
_atom_site_type_symbol
_atom_site_fract_x
_atom_site_fract_y
_atom_site_fract_z
Zn1 Zn 0.125 0.375 0.000
Ga1 Ga 0.000 0.000 0.500
Au1 Au 0.172 0.672 0.500

No. 4
# GdAu (SCAN, PBEsol geometry)
# **Total moment**: 7.33 μB per formula unit
# **Calculated formation energy**: -1.96 eV/f.u.
# **Uncorrected energy**: -64.97 eV/atom
data_GdAu
_chemical_formula_sum 'Gd1 Au1'
_space_group_name_H-M_alt 'P m -3 m'
_space_group_IT_number 221
_space_group_name_Hall '-P 4 2 3'
_cell_length_a 3.571
_cell_length_b 3.571
_cell_length_c 3.571
_cell_angle_alpha 90.00
_cell_angle_beta 90.00
_cell_angle_gamma 90.00
loop_
_atom_site_label
_atom_site_type_symbol
_atom_site_fract_x
_atom_site_fract_y
_atom_site_fract_z
Gd1 Gd 0.000 0.000 0.000
Au1 Au 0.500 0.500 0.500

No. 5
# GdInAu2 (SCAN, PBEsol geometry)
# **Total moment**: 7.26 μB per formula unit
# **Calculated formation energy**: -3.23 eV/f.u.
# **Uncorrected energy**: -58.44 eV/atom
data_GdInAu2
_chemical_formula_sum 'Gd4 In4 Au8'
_space_group_name_H-M_alt 'F m -3 m'
_space_group_IT_number 225
_space_group_name_Hall '-F 4 2 3'
_cell_length_a 6.909
_cell_length_b 6.909
_cell_length_c 6.909
_cell_angle_alpha 90.00
_cell_angle_beta 90.00
_cell_angle_gamma 90.00
loop_
_atom_site_label
_atom_site_type_symbol
_atom_site_fract_x
_atom_site_fract_y
_atom_site_fract_z
Gd1 Gd 0.000 0.000 0.000
In1 In 0.000 0.000 0.500
Au1 Au 0.250 0.250 0.250

No. 6
# GdInAu (SCAN, PBEsol geometry)
# **Total moment**: 7.31 μB per formula unit
# **Calculated formation energy**: -2.76 eV/f.u.
# **Uncorrected energy**: -54.71 eV/atom
data_GdInAu
_chemical_formula_sum 'Gd3 In3 Au3'
_space_group_name_H-M_alt 'P -6 2 m'
_space_group_IT_number 189
_space_group_name_Hall 'P -6 -2'
_cell_length_a 7.6368
_cell_length_b 7.6368
_cell_length_c 4.0049
_cell_angle_alpha 90.00
_cell_angle_beta 90.00
_cell_angle_gamma 120.00
loop_
_atom_site_label
_atom_site_type_symbol
_atom_site_fract_x
_atom_site_fract_y
_atom_site_fract_z
Gd1 Gd 0.0000 0.5927 0.0000
In1 In 0.0000 0.2579 0.5000
Au1 Au 0.0000 0.0000 0.0000
Au2 Au 0.3333 0.6667 0.5000

No. 7
# LiGdAu2 (SCAN, PBEsol geometry)
# **Total moment**: 7.72 μB per formula unit
# **Calculated formation energy**: -3.26 eV/f.u.
# **Uncorrected energy**: -50.69 eV/atom
data_LiGdAu2
_chemical_formula_sum 'Li4 Gd4 Au8'
_space_group_name_H-M_alt 'F m -3 m'
_space_group_IT_number 225
_space_group_name_Hall '-F 4 2 3'
_cell_length_a 6.815
_cell_length_b 6.815
_cell_length_c 6.815
_cell_angle_alpha 90.00
_cell_angle_beta 90.00
_cell_angle_gamma 90.00
loop_
_atom_site_label
_atom_site_type_symbol
_atom_site_fract_x
_atom_site_fract_y
_atom_site_fract_z
Li1 Li 0.000 0.000 0.000
Gd1 Gd 0.000 0.000 0.500
Au1 Au 0.250 0.250 0.250

No. 8
# Gd3Sb4Au3 (SCAN, PBEsol geometry)
# **ΔE_f (raw)**: -0.9996 eV per atom
# **Total moment**: 21.04 μB per formula unit
# **Uncorrected energy**: -54.30 eV/atom
data_Gd3Sb4Au3
_chemical_formula_sum 'Gd12 Sb16 Au12'
_space_group_name_H-M_alt 'I -4 3 d'
_space_group_IT_number 220
_space_group_name_Hall 'I -4bd 2c 3'
_cell_length_a 9.836
_cell_length_b 9.836
_cell_length_c 9.836
_cell_angle_alpha 90.00
_cell_angle_beta 90.00
_cell_angle_gamma 90.00
loop_
_atom_site_label
_atom_site_type_symbol
_atom_site_fract_x
_atom_site_fract_y
_atom_site_fract_z
Gd1 Gd 0.000 0.250 0.875
Sb1 Sb 0.088 0.412 0.588
Au1 Au 0.000 0.250 0.375

No. 9
# Ge3HAu (SCAN, PBEsol geometry)
# **Total moment**: 0.00 μB per formula unit
# **Uncorrected energy**: -24.82 eV/atom
data_Ge3HAu
_chemical_formula_sum 'Ge3 H1 Au1'
_space_group_name_H-M_alt 'P m -3 m'
_space_group_IT_number 221
_space_group_name_Hall '-P 4 2 3'
_cell_length_a 4.970
_cell_length_b 4.970
_cell_length_c 4.970
_cell_angle_alpha 90.00
_cell_angle_beta 90.00
_cell_angle_gamma 90.00
loop_
_atom_site_label
_atom_site_type_symbol
_atom_site_fract_x
_atom_site_fract_y
_atom_site_fract_z
Ge1 Ge 0.000 0.000 0.500
H1 H 0.500 0.500 0.500
Au1 Au 0.000 0.000 0.000

No. 10
# GeHPbAu2 (SCAN, PBEsol geometry)
# **Total moment**: 0.61 μB per formula unit
# **Uncorrected energy**: -46.11 eV/atom
data_GeHPbAu2
_chemical_formula_sum 'Ge1 H1 Pb1 Au2'
_space_group_name_H-M_alt 'P 4/m m m'
_space_group_IT_number 123
_space_group_name_Hall '-P 4 2'
_cell_length_a 5.234
_cell_length_b 5.234
_cell_length_c 5.506
_cell_angle_alpha 90.00
_cell_angle_beta 90.00
_cell_angle_gamma 90.00
loop_
_atom_site_label
_atom_site_type_symbol
_atom_site_fract_x
_atom_site_fract_y
_atom_site_fract_z
Ge1 Ge 0.000 0.000 0.000
H1 H 0.500 0.500 0.000
Pb1 Pb 0.000 0.000 0.500
Au1 Au 0.000 0.500 0.500

No. 11
# YGeHAu2 (SCAN, PBEsol geometry)
# **Total moment**: 0.00 μB per formula unit
# **Uncorrected energy**: -37.99 eV/atom
data_YGeHAu2
_chemical_formula_sum 'Y1 Ge1 H1 Au2'
_space_group_name_H-M_alt 'P 4/m m m'
_space_group_IT_number 123
_space_group_name_Hall '-P 4 2'
_cell_length_a 4.108
_cell_length_b 4.108
_cell_length_c 4.791
_cell_angle_alpha 90.00
_cell_angle_beta 90.00
_cell_angle_gamma 90.00
loop_
_atom_site_label
_atom_site_type_symbol
_atom_site_fract_x
_atom_site_fract_y
_atom_site_fract_z
Y1 Y 0.000 0.000 0.000
Ge1 Ge 0.500 0.500 0.000
H1 H 0.500 0.500 0.500
Au1 Au 0.000 0.500 0.500

No. 12
# K2HgGeAu (SCAN, PBEsol geometry)
# **Total moment**: 2.54 μB per formula unit
# **Calculated formation energy**: 0.79 eV/f.u.
# **Uncorrected energy**: -34.46 eV/atom
data_K2HgGeAu
_chemical_formula_sum 'K2 Hg1 Ge1 Au1'
_space_group_name_H-M_alt 'P 4/m m m'
_space_group_IT_number 123
_space_group_name_Hall '-P 4 2'
_cell_length_a 6.069
_cell_length_b 6.069
_cell_length_c 5.251
_cell_angle_alpha 90.00
_cell_angle_beta 90.00
_cell_angle_gamma 90.00
loop_
_atom_site_label
_atom_site_type_symbol
_atom_site_fract_x
_atom_site_fract_y
_atom_site_fract_z
K1 K 0.000 0.500 0.000
Hg1 Hg 0.000 0.000 0.500
Ge1 Ge 0.500 0.500 0.500
Au1 Au 0.000 0.000 0.000